This record from Alexandria describes an optimized crystal structure of V6O13. The functional is PBE+U.

a b c (Å): 6.321 6.321 10.259
angles (deg): 79.78 100.22 145.06
Last column: magnetic moment on the atom in μB.
Positions (direct):
O 0.612 0.388 0.802  -0.05
O 0.254 0.746 0.411  -0.02
O 0.561 0.439 0.411  -0.06
O 0.676 0.324 0.199  -0.12
O 0.187 0.813 0.001  -0.06
O 0.500 0.500 0.000  -0.11
V 0.651 0.349 0.004  1.03
O 0.882 0.118 0.384  -0.03
V 0.587 0.413 0.636  0.22
V 0.413 0.587 0.364  0.22
O 0.324 0.676 0.801  -0.12
O 0.118 0.882 0.616  -0.03
O 0.746 0.254 0.589  -0.02
O 0.813 0.187 0.999  -0.06
V 0.715 0.285 0.367  1.08
O 0.388 0.612 0.198  -0.05
V 0.285 0.715 0.633  1.08
O 0.439 0.561 0.589  -0.06
V 0.349 0.651 0.996  1.03

symmetry	C2/m (12)
density of states at the Fermi level	0.002	states/eV/atom
calculated volume	12.14	Å³ per atom
uncorrected energy	-0.56225	Ry per atom